Run 1
The following is a DFT calculation (PBE) of a geometry-optimized CoP2Br structure.

Computed properties:
Calculated density: 3.372 Mg/m³
Space group: Cmm2, No. 35

Unit cell a=4.144 b=4.144 c=7.395 alpha=90.00 beta=90.00 gamma=128.88
Atoms (fractional coordinates):
Co  0.000  0.000  0.000
P  0.000  0.000  0.681
P  0.500  0.500  0.842
Br  0.500  0.500  0.231



Run 2
The following is a DFT calculation (PBE) of a geometry-optimized CoP2Br structure.

Computed properties:
Calculated density: 3.925 Mg/m³
Space group: P2/m, No. 10

Unit cell a=4.794 b=3.475 c=5.101 alpha=90.00 beta=91.73 gamma=90.00
Atoms (fractional coordinates):
Co  0.000  0.000  0.000
P  0.289  0.500  0.012
P  0.711  0.500  0.988
Br  0.000  0.000  0.500



Run 3
The following is a DFT calculation (PBE) of a geometry-optimized CoP2Br structure.

Computed properties:
Calculated density: 3.895 Mg/m³
Space group: I-42d, No. 122

Unit cell a=6.574 b=6.574 c=6.574 alpha=128.03 beta=128.03 gamma=76.57
Atoms (fractional coordinates):
Co  0.000  0.000  0.000
Co  0.750  0.250  0.500
P  0.000  0.625  0.875
P  0.375  0.250  0.375
P  0.750  0.125  0.125
P  0.875  0.000  0.625
Br  0.250  0.750  0.500
Br  0.500  0.500  0.000



Which structure loses on stability? run 1 does.



Run 1
The following is a DFT calculation (PBE) of a geometry-optimized CoP2Br structure.

Computed properties:
Calculated density: 4.239 Mg/m³
Space group: I4/mmm, No. 139

Unit cell a=7.281 b=7.281 c=7.281 alpha=153.14 beta=153.14 gamma=38.34
Atoms (fractional coordinates):
Co  0.000  0.000  0.000
P  0.250  0.750  0.500
P  0.750  0.250  0.500
Br  0.500  0.500  0.000



Run 2
The following is a DFT calculation (PBE) of a geometry-optimized CoP2Br structure.

Computed properties:
Calculated density: 4.542 Mg/m³
Space group: R3m, No. 160

Unit cell a=7.013 b=7.013 c=7.013 alpha=29.37 beta=29.37 gamma=29.37
Atoms (fractional coordinates):
Co  0.000  0.000  0.000
P  0.283  0.283  0.283
P  0.565  0.565  0.565
Br  0.744  0.744  0.744



Which structure loses on stability? run 1 does.



Run 1
The following is a DFT calculation (PBE) of a geometry-optimized CoP2Br structure.

Computed properties:
Calculated density: 3.837 Mg/m³
Space group: Cm, No. 8

Unit cell a=4.117 b=4.117 c=7.442 alpha=107.04 beta=107.04 gamma=46.61
Atoms (fractional coordinates):
Co  0.000  0.000  0.000
P  0.582  0.582  0.244
P  0.730  0.730  0.054
Br  0.401  0.401  0.733



Run 2
The following is a DFT calculation (PBE) of a geometry-optimized CoP2Br structure.

Computed properties:
Calculated density: 5.432 Mg/m³
Space group: P4/mmm, No. 123

Unit cell a=4.610 b=4.610 c=2.888 alpha=90.00 beta=90.00 gamma=90.00
Atoms (fractional coordinates):
Co  0.000  0.000  0.000
P  0.000  0.500  0.500
P  0.500  0.000  0.500
Br  0.500  0.500  0.000



Which structure loses on stability? run 2 does.